! Pu2U2Ni15, relaxed, DFT PBE; values from VASP
! - M_tot (μB/cell) = 10.81
! - formation energy (eV/atom) = -0.1702
! - DFT total energy (eV per atom) = -7.431
! - DOS(E_F) (states/eV/atom) = 2.479
! - symmetry = R-3m
&SYSTEM
  ibrav = 0, nat = 19, ntyp = 3
/
ATOMIC_SPECIES
Ni 58.69 Ni.upf
U 238.03 U.upf
Pu 244.00 Pu.upf
CELL_PARAMETERS angstrom
-5.325 3.419 -1.168
-3.849 -4.914 -1.566
-2.792 -0.769 5.747
ATOMIC_POSITIONS angstrom
Ni -4.860 0.794 -1.294
Ni -4.314 -2.289 -1.441
Ni -3.125 -2.075 3.443
Ni -4.527 2.100 1.010
Ni -1.924 -2.457 -0.783
Ni -5.233 -3.166 2.551
Ni -5.487 -1.156 3.861
Ni -2.663 1.710 -0.584
Ni -6.007 -3.194 0.266
Ni -6.733 0.902 0.462
Ni -1.396 -0.384 2.874
Ni -3.590 0.551 3.569
Ni -3.516 -3.608 0.738
Ni -6.479 -1.107 -0.848
Ni -5.959 0.930 2.747
U -1.211 -0.229 0.305
U -10.755 -2.035 2.708
Pu -7.726 -1.462 1.945
Pu -4.241 -0.802 1.068


! PuUNi10, relaxed, DFT PBE; values from VASP
! - M_tot (μB/cell) = 3.73
! - formation energy (eV/atom) = -0.2029
! - DFT total energy (eV per atom) = -7.156
! - DOS(E_F) (states/eV/atom) = 2.039
! - symmetry = Pmmm
&SYSTEM
  ibrav = 0, nat = 12, ntyp = 3
/
ATOMIC_SPECIES
Ni 58.69 Ni.upf
U 238.03 U.upf
Pu 244.00 Pu.upf
CELL_PARAMETERS angstrom
-1.283 -3.665 0.813
4.152 -0.936 2.336
-3.397 2.776 7.149
ATOMIC_POSITIONS angstrom
Ni -0.455 -1.363 2.819
Ni 1.594 -1.825 3.972
Ni -2.122 -0.001 6.327
Ni -2.340 -0.445 3.981
Ni -2.251 1.839 4.737
Ni -0.737 1.831 7.088
Ni 1.492 0.010 2.398
Ni -0.073 -0.462 7.480
Ni -1.146 0.936 2.412
Ni 1.435 -2.300 1.575
U 0.378 0.920 4.743
Pu 0.000 0.000 0.000


! Pu2VNi, relaxed, DFT PBE; values from VASP
! - M_tot (μB/cell) = 1.45
! - formation energy (eV/atom) = 0.4262
! - DFT total energy (eV per atom) = -10.465
! - DOS(E_F) (states/eV/atom) = 2.716
! - polymorph energy (0 for the lowest one) (meV/atom) = 0
! - symmetry = P4/mmm
&SYSTEM
  ibrav = 0, nat = 4, ntyp = 3
/
ATOMIC_SPECIES
V 50.94 V.upf
Ni 58.69 Ni.upf
Pu 244.00 Pu.upf
CELL_PARAMETERS angstrom
-3.701 2.313 -1.908
-1.764 -0.297 3.062
1.368 3.086 1.087
ATOMIC_POSITIONS angstrom
V -2.048 2.551 1.121
Ni -1.850 1.156 -0.954
Pu 0.684 1.543 0.544
Pu -0.882 -0.148 1.531


! PuVNi2, relaxed, DFT PBE; values from VASP
! - M_tot (μB/cell) = 5.96
! - formation energy (eV/atom) = -0.0417
! - DFT total energy (eV per atom) = -8.795
! - DOS(E_F) (states/eV/atom) = 1.916
! - polymorph energy (0 for the lowest one) (meV/atom) = 0
! - symmetry = P4/mmm
&SYSTEM
  ibrav = 0, nat = 4, ntyp = 3
/
ATOMIC_SPECIES
Ni 58.69 Ni.upf
V 50.94 V.upf
Pu 244.00 Pu.upf
CELL_PARAMETERS angstrom
2.975 0.000 0.000
0.000 2.975 0.000
0.000 0.000 6.894
ATOMIC_POSITIONS angstrom
Ni 0.000 0.000 1.275
Ni 0.000 0.000 5.619
V 1.487 1.487 0.000
Pu 1.487 1.487 3.447


! Pu2VNi, relaxed, DFT PBE; values from VASP
! - M_tot (μB/cell) = 7.71
! - formation energy (eV/atom) = 0.4971
! - DFT total energy (eV per atom) = -10.394
! - DOS(E_F) (states/eV/atom) = 2.834
! - polymorph energy (0 for the lowest one) (meV/atom) = 71
! - symmetry = R-3m
&SYSTEM
  ibrav = 0, nat = 4, ntyp = 3
/
ATOMIC_SPECIES
Ni 58.69 Ni.upf
Pu 244.00 Pu.upf
V 50.94 V.upf
CELL_PARAMETERS angstrom
2.836 0.000 0.000
1.418 2.456 0.000
1.418 0.819 9.912
ATOMIC_POSITIONS angstrom
Ni 2.836 1.637 4.956
Pu 1.418 0.819 7.331
Pu 4.254 2.456 2.581
V 0.000 0.000 0.000


! PuVNi2, relaxed, DFT PBE; values from VASP
! - M_tot (μB/cell) = 7.26
! - formation energy (eV/atom) = 0.1784
! - DFT total energy (eV per atom) = -8.575
! - DOS(E_F) (states/eV/atom) = 3.378
! - polymorph energy (0 for the lowest one) (meV/atom) = 220
! - symmetry = Fm-3m
&SYSTEM
  ibrav = 0, nat = 4, ntyp = 3
/
ATOMIC_SPECIES
Ni 58.69 Ni.upf
Pu 244.00 Pu.upf
V 50.94 V.upf
CELL_PARAMETERS angstrom
4.467 0.000 0.000
2.233 3.868 0.000
2.233 1.289 3.650
ATOMIC_POSITIONS angstrom
Ni 2.233 1.289 0.907
Ni 6.700 3.868 2.743
Pu 4.467 2.579 1.825
V 0.000 0.000 0.000


! PuVNi, relaxed, DFT PBE; values from VASP
! - M_tot (μB/cell) = 0.69
! - formation energy (eV/atom) = 0.3447
! - DFT total energy (eV per atom) = -9.399
! - DOS(E_F) (states/eV/atom) = 1.756
! - polymorph energy (0 for the lowest one) (meV/atom) = 166
! - symmetry = P3m1
&SYSTEM
  ibrav = 0, nat = 3, ntyp = 3
/
ATOMIC_SPECIES
Pu 244.00 Pu.upf
V 50.94 V.upf
Ni 58.69 Ni.upf
CELL_PARAMETERS angstrom
2.380 0.000 0.000
0.000 4.558 0.000
0.000 -2.279 3.948
ATOMIC_POSITIONS angstrom
Pu 1.588 0.000 2.632
V 0.400 2.279 1.316
Ni 0.392 0.000 0.000


! PuVNi, relaxed, DFT PBE; values from VASP
! - M_tot (μB/cell) = 0.00
! - formation energy (eV/atom) = 0.1785
! - DFT total energy (eV per atom) = -9.565
! - DOS(E_F) (states/eV/atom) = 1.985
! - polymorph energy (0 for the lowest one) (meV/atom) = 0
! - symmetry = I4mm
&SYSTEM
  ibrav = 0, nat = 3, ntyp = 3
/
ATOMIC_SPECIES
Pu 244.00 Pu.upf
V 50.94 V.upf
Ni 58.69 Ni.upf
CELL_PARAMETERS angstrom
-0.277 2.401 0.640
-1.821 0.242 -1.696
-3.492 -3.077 5.152
ATOMIC_POSITIONS angstrom
Pu -5.549 -0.418 4.054
V -2.718 0.676 1.172
Ni -2.912 -1.126 2.965


! PuVNi4, relaxed, DFT PBE; values from VASP
! - M_tot (μB/cell) = 7.09
! - formation energy (eV/atom) = -0.0930
! - DFT total energy (eV per atom) = -7.856
! - DOS(E_F) (states/eV/atom) = 2.425
! - symmetry = F-43m
&SYSTEM
  ibrav = 0, nat = 6, ntyp = 3
/
ATOMIC_SPECIES
Ni 58.69 Ni.upf
V 50.94 V.upf
Pu 244.00 Pu.upf
CELL_PARAMETERS angstrom
4.877 0.000 0.000
2.438 4.223 0.000
2.438 1.408 3.982
ATOMIC_POSITIONS angstrom
Ni 4.877 1.415 2.486
Ni 6.090 3.516 2.486
Ni 4.877 2.816 0.506
Ni 3.664 3.516 2.486
V 2.438 1.408 0.995
Pu 0.000 0.000 0.000


! PuVNi, relaxed, DFT PBE; values from VASP
! - M_tot (μB/cell) = 5.48
! - formation energy (eV/atom) = 0.3122
! - DFT total energy (eV per atom) = -9.432
! - DOS(E_F) (states/eV/atom) = 1.751
! - polymorph energy (0 for the lowest one) (meV/atom) = 134
! - symmetry = Fmmm
&SYSTEM
  ibrav = 0, nat = 6, ntyp = 3
/
ATOMIC_SPECIES
V 50.94 V.upf
Pu 244.00 Pu.upf
Ni 58.69 Ni.upf
CELL_PARAMETERS angstrom
4.737 0.000 0.000
2.369 3.558 0.000
2.369 0.000 5.503
ATOMIC_POSITIONS angstrom
V 5.922 1.779 2.751
V 3.553 1.779 2.751
Pu 4.737 1.188 0.000
Pu 2.369 2.369 0.000
Ni 2.369 0.000 1.301
Ni 4.737 0.000 4.202


! PuNi4W, relaxed, DFT PBE; values from VASP
! - M_tot (μB/cell) = 6.07
! - formation energy (eV/atom) = 0.0537
! - DFT total energy (eV per atom) = -8.348
! - DOS(E_F) (states/eV/atom) = 2.152
! - symmetry = F-43m
&SYSTEM
  ibrav = 0, nat = 6, ntyp = 3
/
ATOMIC_SPECIES
Ni 58.69 Ni.upf
W 183.84 W.upf
Pu 244.00 Pu.upf
CELL_PARAMETERS angstrom
4.882 0.000 0.000
2.441 4.228 0.000
2.441 1.409 3.986
ATOMIC_POSITIONS angstrom
Ni 3.668 3.520 2.489
Ni 6.097 3.520 2.489
Ni 4.882 1.417 2.489
Ni 4.882 2.819 0.506
W 2.441 1.409 0.997
Pu 0.000 0.000 0.000


! YPu2Ni9, relaxed, DFT PBE; values from VASP
! - M_tot (μB/cell) = 8.89
! - formation energy (eV/atom) = -0.3000
! - DFT total energy (eV per atom) = -7.563
! - DOS(E_F) (states/eV/atom) = 2.222
! - symmetry = R-3m
&SYSTEM
  ibrav = 0, nat = 12, ntyp = 3
/
ATOMIC_SPECIES
Ni 58.69 Ni.upf
Pu 244.00 Pu.upf
Y 88.91 Y.upf
CELL_PARAMETERS angstrom
-4.479 1.035 -1.803
-4.040 -1.453 2.440
-2.876 6.882 4.333
ATOMIC_POSITIONS angstrom
Ni -2.840 -0.130 0.217
Ni -6.509 2.034 0.428
Ni -5.698 3.232 2.485
Ni -8.555 6.595 4.752
Ni -4.886 4.431 4.542
Ni -5.106 5.676 2.418
Ni -4.267 1.516 1.330
Ni -6.289 0.789 2.552
Ni -7.128 4.949 3.640
Pu -8.535 2.585 2.399
Pu -2.860 3.880 2.571
Y 0.000 0.000 0.000